(1)
LiAgGeAu: relaxed, PBE-GGA.

Lattice parameters (Å, degrees): 4.5442 4.5442 4.5442 60.00 60.00 60.00
Closest atoms and distances in Å follow each position.
Positions (direct):
Au 0.0000 0.0000 0.0000  4 Li 2.78, 4 Ge 2.78
Li 0.7500 0.7500 0.7500  4 Ag 2.78, 4 Au 2.78
Ag 0.5000 0.5000 0.5000  4 Li 2.78, 4 Ge 2.78
Ge 0.2500 0.2500 0.2500  4 Ag 2.78, 4 Au 2.78

Symmetry ... No. 216
Calculated volume ... 16.6 Å³/atom
Polymorph energy (0 for the lowest one) ... 0.0 kJ/mol of formula units
Crystal system ... cubic

***

(2)
MgAgGeAu: relaxed, PBE-GGA.

Lattice parameters (Å, degrees): 4.6842 4.6842 4.6842 60.00 60.00 60.00
Closest atoms and distances in Å follow each position.
Positions (direct):
Au 0.7500 0.7500 0.7500  4 Ge 2.87, 4 Mg 2.87
Ge 0.0000 0.0000 0.0000  4 Au 2.87, 4 Ag 2.87
Ag 0.2500 0.2500 0.2500  4 Mg 2.87, 4 Ge 2.87
Mg 0.5000 0.5000 0.5000  4 Ag 2.87, 4 Au 2.87

Symmetry ... No. 216
Calculated volume ... 18.2 Å³/atom
Polymorph energy (0 for the lowest one) ... 0.0 kJ/mol of formula units
Crystal system ... cubic